# 1
An optimized crystal structure of TbPm6HoSc2. Source: the Alexandria database, functional PBE.

DOS(E_F), states/eV/cell: 31.836
Energy of formation, eV per atom: 0.1248

Cell: 8.760 8.760 9.518 Å, 94.12 94.12 117.60°
Fractional coordinates of all 20 atoms:
1 Tb 0.029 0.971 0.750
2 Tb 0.971 0.029 0.250
3 Pm 0.011 0.559 0.683
4 Pm 0.111 0.762 0.053
5 Pm 0.238 0.889 0.447
6 Pm 0.299 0.507 0.882
7 Pm 0.441 0.989 0.817
8 Pm 0.493 0.701 0.618
9 Pm 0.507 0.299 0.382
10 Pm 0.559 0.011 0.183
11 Pm 0.701 0.493 0.118
12 Pm 0.762 0.111 0.553
13 Pm 0.889 0.238 0.947
14 Pm 0.989 0.441 0.317
15 Ho 0.409 0.591 0.250
16 Ho 0.591 0.409 0.750
17 Sc 0.199 0.297 0.549
18 Sc 0.297 0.199 0.049
19 Sc 0.703 0.801 0.951
20 Sc 0.801 0.703 0.451

***

# 2
An optimized crystal structure of Tb6Pm2Ho3Sc. Source: the Alexandria database, functional PBE.

DOS(E_F), states/eV/cell: 15.361
Energy of formation, eV per atom: 0.0242

Cell: 6.130 6.130 11.753 Å, 94.97 94.97 119.98°
Fractional coordinates of all 12 atoms:
1 Tb 0.083 0.414 0.750
2 Tb 0.247 0.247 0.249
3 Tb 0.414 0.083 0.750
4 Tb 0.586 0.917 0.250
5 Tb 0.753 0.753 0.751
6 Tb 0.917 0.586 0.250
7 Pm 0.334 0.666 0.500
8 Pm 0.666 0.334 0.500
9 Ho 0.166 0.834 0.000
10 Ho 0.500 0.500 0.000
11 Ho 0.834 0.166 0.000
12 Sc 0.000 0.000 0.500

***

# 3
An optimized crystal structure of TbPmHo2Sc4. Source: the Alexandria database, functional PBE.

DOS(E_F), states/eV/cell: 33.671
Energy of formation, eV per atom: 0.4398

Cell: 9.092 9.092 9.092 Å, 137.95 103.23 91.63°
Fractional coordinates of all 16 atoms:
1 Tb 0.500 0.000 0.000
2 Tb 0.500 0.500 0.500
3 Pm 0.000 0.000 0.000
4 Pm 0.500 0.000 0.500
5 Ho 0.000 0.000 0.500
6 Ho 0.000 0.500 0.000
7 Ho 0.000 0.500 0.500
8 Ho 0.500 0.500 0.000
9 Sc 0.248 0.749 0.499
10 Sc 0.249 0.250 0.501
11 Sc 0.249 0.748 0.999
12 Sc 0.250 0.251 0.999
13 Sc 0.750 0.749 0.001
14 Sc 0.751 0.252 0.001
15 Sc 0.751 0.750 0.499
16 Sc 0.752 0.251 0.501

***

# 4
An optimized crystal structure of Tb3Pm6Ho2Sc. Source: the Alexandria database, functional PBE.

DOS(E_F), states/eV/cell: 14.184
Energy of formation, eV per atom: 0.0237

Cell: 6.209 6.209 11.756 Å, 95.04 95.04 119.99°
Fractional coordinates of all 12 atoms:
1 Tb 0.000 0.000 0.000
2 Tb 0.333 0.667 0.000
3 Tb 0.667 0.333 0.000
4 Pm 0.087 0.418 0.254
5 Pm 0.251 0.251 0.747
6 Pm 0.418 0.087 0.254
7 Pm 0.582 0.913 0.746
8 Pm 0.749 0.749 0.253
9 Pm 0.913 0.582 0.746
10 Ho 0.167 0.833 0.500
11 Ho 0.833 0.167 0.500
12 Sc 0.500 0.500 0.500

***

# 5
An optimized crystal structure of Tb2PmHoSc2. Source: the Alexandria database, functional PBE.

DOS(E_F), states/eV/cell: 21.136
Energy of formation, eV per atom: 0.2765

Cell: 6.282 17.454 3.347 Å, 90.00 90.00 90.00°
Fractional coordinates of all 12 atoms:
1 Tb 0.221 0.192 0.000
2 Tb 0.279 0.692 0.500
3 Tb 0.721 0.308 0.500
4 Tb 0.779 0.808 0.000
5 Pm 0.000 0.000 0.000
6 Pm 0.500 0.500 0.500
7 Ho 0.000 0.500 0.000
8 Ho 0.500 0.000 0.500
9 Sc 0.218 0.355 0.500
10 Sc 0.282 0.855 0.000
11 Sc 0.718 0.145 0.000
12 Sc 0.782 0.645 0.500

***

# 6
An optimized crystal structure of TbPm2Ho2Sc. Source: the Alexandria database, functional PBE.

DOS(E_F), states/eV/cell: 21.966
Energy of formation, eV per atom: 0.0372

Cell: 5.626 10.793 6.227 Å, 90.00 90.00 90.00°
Fractional coordinates of all 12 atoms:
1 Tb 0.000 0.244 0.000
2 Tb 0.000 0.756 0.500
3 Pm 0.000 0.418 0.493
4 Pm 0.000 0.582 0.993
5 Pm 0.500 0.242 0.660
6 Pm 0.500 0.758 0.160
7 Ho 0.000 0.077 0.485
8 Ho 0.000 0.923 0.985
9 Ho 0.500 0.412 0.159
10 Ho 0.500 0.588 0.659
11 Sc 0.500 0.080 0.159
12 Sc 0.500 0.920 0.659

***

Look up the energy of formation of the third one.
0.4398 eV per atom

***

Please write out number 6 again, unchanged.
An optimized crystal structure of TbPm2Ho2Sc. Source: the Alexandria database, functional PBE.

DOS(E_F), states/eV/cell: 21.966
Energy of formation, eV per atom: 0.0372

Cell: 5.626 10.793 6.227 Å, 90.00 90.00 90.00°
Fractional coordinates of all 12 atoms:
1 Tb 0.000 0.244 0.000
2 Tb 0.000 0.756 0.500
3 Pm 0.000 0.418 0.493
4 Pm 0.000 0.582 0.993
5 Pm 0.500 0.242 0.660
6 Pm 0.500 0.758 0.160
7 Ho 0.000 0.077 0.485
8 Ho 0.000 0.923 0.985
9 Ho 0.500 0.412 0.159
10 Ho 0.500 0.588 0.659
11 Sc 0.500 0.080 0.159
12 Sc 0.500 0.920 0.659

***

What is the DOS(E_F) in the fifth record?
21.136 states/eV/cell